Crystalline InHg2Se at its relaxed geometry, computed with PBE.

Lattice parameters (Å, degrees): 4.044 6.752 9.280 91.26 102.50 107.83
Positions (direct):
Se1 0.468 0.532 0.908
Se2 0.304 0.888 0.228
Hg1 0.859 0.668 0.569
Hg2 0.989 0.241 0.242
Hg3 0.071 0.197 0.578
Hg4 0.768 0.169 0.875
In1 0.122 0.832 0.915
In2 0.646 0.583 0.220

Values from the calculation:
Volume = 29.3 Å³ per atom
Total magnetization = 0.00 μB per formula unit
VASP energy = -7.5 eV per formula unit

Crystalline In3HgSe at its relaxed geometry, computed with PBE.

Lattice parameters (Å, degrees): 5.732 5.732 5.732 90.00 90.00 90.00
Positions (direct):
Se1 0.000 0.000 0.000
In1 0.000 0.500 0.000
In2 0.500 0.000 0.000
In3 0.000 0.000 0.500
Hg1 0.500 0.500 0.500

Values from the calculation:
Volume = 37.7 Å³ per atom
Offset from the most stable computed form = 1.90 eV per formula unit
Total magnetization = 0.00 μB per formula unit

Crystalline InHg2Se at its relaxed geometry, computed with PBE.

Lattice parameters (Å, degrees): 11.221 11.221 11.221 16.69 16.69 16.69
Positions (direct):
Se1 0.750 0.750 0.750
Hg1 0.000 0.000 0.000
Hg2 0.500 0.500 0.500
In1 0.250 0.250 0.250

Values from the calculation:
Volume = 25.4 Å³ per atom
Total magnetization = 0.00 μB per formula unit
VASP energy = -6.1 eV per formula unit

Crystalline InHg2Se at its relaxed geometry, computed with PBE.

Lattice parameters (Å, degrees): 3.259 3.259 10.940 90.00 90.00 107.02
Positions (direct):
Se1 0.500 0.500 0.721
Hg1 0.000 0.000 0.992
Hg2 0.500 0.500 0.259
In1 0.000 0.000 0.528

Values from the calculation:
Volume = 27.8 Å³ per atom
Total magnetization = 0.00 μB per formula unit
VASP energy = -6.7 eV per formula unit

Crystalline In2HgSe2 at its relaxed geometry, computed with PBE.

Lattice parameters (Å, degrees): 3.918 7.093 11.051 95.31 100.21 90.00
Positions (direct):
Hg1 0.250 0.750 0.500
Hg2 0.750 0.250 0.500
Se1 0.121 0.005 0.242
Se2 0.879 0.995 0.758
Se3 0.379 0.496 0.758
Se4 0.621 0.504 0.242
In1 0.443 0.189 0.886
In2 0.943 0.689 0.886
In3 0.057 0.311 0.114
In4 0.557 0.811 0.114

Values from the calculation:
Volume = 30.1 Å³ per atom
Offset from the most stable computed form = 0.11 eV per formula unit
Total magnetization = 0.00 μB per formula unit

Crystalline InHg2Se at its relaxed geometry, computed with PBE.

Lattice parameters (Å, degrees): 8.251 4.083 17.218 90.00 116.64 90.00
Positions (direct):
In1 0.536 0.000 0.169
In2 0.464 0.000 0.831
In3 0.536 0.500 0.669
In4 0.464 0.500 0.331
Se1 0.727 0.000 0.774
Se2 0.273 0.500 0.726
Se3 0.727 0.500 0.274
Se4 0.273 0.000 0.226
Hg1 0.500 0.500 0.500
Hg2 0.500 0.000 0.000
Hg3 0.848 0.500 0.098
Hg4 0.000 0.000 0.000
Hg5 0.848 0.000 0.598
Hg6 0.152 0.500 0.902
Hg7 0.000 0.500 0.500
Hg8 0.152 0.000 0.402

Values from the calculation:
Volume = 32.4 Å³ per atom
Total magnetization = 0.00 μB per formula unit
VASP energy = -7.7 eV per formula unit

Crystalline InHg2Se at its relaxed geometry, computed with PBE.

Lattice parameters (Å, degrees): 4.100 4.100 8.918 89.74 89.84 59.96
Positions (direct):
In1 0.250 0.553 0.204
Hg1 0.584 0.878 0.727
Hg2 0.251 0.547 0.522
Se1 0.583 0.887 0.051

Values from the calculation:
Volume = 32.4 Å³ per atom
Total magnetization = 0.00 μB per formula unit
VASP energy = -7.5 eV per formula unit

Crystalline InHg2Se at its relaxed geometry, computed with PBE.

Lattice parameters (Å, degrees): 4.146 4.147 6.517 90.00 90.00 90.00
Positions (direct):
Hg1 0.000 0.000 0.000
Hg2 0.500 0.500 0.000
Se1 0.000 0.500 0.500
In1 0.500 0.000 0.500

Values from the calculation:
Volume = 28.0 Å³ per atom
Total magnetization = 0.00 μB per formula unit
VASP energy = -7.2 eV per formula unit